LaYCdOs | the Alexandria database | GGA-PBE | relaxed; N(E_F) = 1.01 states/eV/atom; calculated formation energy = -0.106 eV/atom; space-group type = F-43m, No. 216; total DFT energy (no corrections) = -5.990 eV/atom; V = 96.7 Å³/f.u.
1.0
0.000 3.643 3.643
3.643 0.000 3.643
3.643 3.643 0.000
La Y Cd Os
1 1 1 1
Cartesian
0.000 0.000 0.000
3.643 3.643 3.643
5.465 5.465 5.465
1.822 1.822 1.822

NaSrOsO6 | the Alexandria database | GGA-PBE | relaxed; E_form (uncorrected) = -1.412 eV/atom; space-group type = P1, No. 1; total DFT energy (no corrections) = -6.299 eV/atom; V = 142.5 Å³/f.u.
1.0
5.112 0.000 0.000
0.140 5.636 0.000
0.013 2.783 4.948
Na Sr Os O
1 1 1 6
Cartesian
0.000 0.000 0.000
2.643 5.612 3.262
5.097 2.799 1.747
1.052 3.473 0.172
1.002 1.261 1.696
1.173 3.585 2.859
3.924 2.067 2.902
4.114 4.352 1.629
4.271 2.211 0.122

Pr3RuC2N6 | the Alexandria database | GGA-PBE | relaxed; N(E_F) = 0.25 states/eV/atom; E_form (uncorrected) = -0.471 eV/atom; space-group type = P-3m1, No. 164; total DFT energy (no corrections) = -8.138 eV/atom; V = 160.2 Å³/f.u.
1.0
5.289 0.000 0.000
-2.645 4.581 0.000
0.000 0.000 6.612
Pr Ru C N
3 1 2 6
Cartesian
0.000 0.000 0.000
0.000 3.054 4.433
2.645 1.527 2.179
0.000 0.000 3.306
0.000 3.054 1.824
2.645 1.527 4.788
0.000 1.675 1.812
-1.194 3.743 1.812
1.451 0.838 4.800
1.194 3.743 1.812
3.839 0.838 4.800
2.645 2.905 4.800

SrBi3C | the Alexandria database | GGA-PBE | relaxed; N(E_F) = 1.82 states/eV/atom; calculated formation energy = 2.060 eV/atom; space-group type = Pm-3m, No. 221; total DFT energy (no corrections) = -2.449 eV/atom; E above lowest polymorph = 7.63 eV/f.u.; V = 235.1 Å³/f.u.
1.0
6.172 0.000 0.000
0.000 6.172 0.000
0.000 0.000 6.172
Sr Bi C
1 3 1
Cartesian
0.000 0.000 0.000
0.000 0.000 3.086
0.000 3.086 0.000
3.086 0.000 0.000
3.086 3.086 3.086

- What is the V in the fourth record?
  235.1 Å³/f.u.

- total DFT energy (no corrections) of number 4 (SrBi3C)?
  -2.449 eV/atom

- Which of these has the lowest V?
  LaYCdOs